Entry 1:
{"formula": "BaPuSb2Pt2", "functional": "PBE", "state": "relaxed", "lattice": [[4.572, 0.000, 0.000], [-2.286, 3.959, 0.000], [0.000, 0.000, 8.917]], "species": ["Ba", "Pu", "Sb", "Sb", "Pt", "Pt"], "frac_coords": [[0.000, 0.000, 0.000], [0.000, 0.000, 0.500], [0.333, 0.667, 0.735], [0.667, 0.333, 0.265], [0.333, 0.667, 0.309], [0.667, 0.333, 0.691]], "spacegroup": "P-3m1, No. 164", "volume_a3_per_atom": 26.90, "crystal_system": "trigonal", "formation_energy_uncorrected_mev_per_atom": -866.7}


Entry 2:
{"formula": "DyEr12Tm3", "functional": "PBE", "state": "relaxed", "lattice": [[4.946, 0.000, 0.000], [0.000, 4.946, 0.000], [0.000, 0.000, 19.776]], "species": ["Dy", "Er", "Er", "Er", "Er", "Er", "Er", "Er", "Er", "Er", "Er", "Er", "Er", "Tm", "Tm", "Tm"], "frac_coords": [[0.000, 0.000, 0.000], [0.000, 0.500, 0.126], [0.000, 0.500, 0.375], [0.000, 0.500, 0.625], [0.000, 0.500, 0.874], [0.500, 0.000, 0.126], [0.500, 0.000, 0.375], [0.500, 0.000, 0.625], [0.500, 0.000, 0.874], [0.500, 0.500, 0.000], [0.500, 0.500, 0.251], [0.500, 0.500, 0.500], [0.500, 0.500, 0.749], [0.000, 0.000, 0.250], [0.000, 0.000, 0.500], [0.000, 0.000, 0.750]], "spacegroup": "P4/mmm, No. 123", "volume_a3_per_atom": 30.24, "crystal_system": "tetragonal", "delta_e_f_mev_per_atom": 23.2}